# 1
{"formula": "YTm2Pt", "functional": "GGA-PBE", "state": "optimized geometry", "e_tot_ev_per_atom": -5.8818, "lattice": [[1.904, 1.099, 9.311], [-1.904, 1.099, 9.311], [0.000, -2.198, 9.311]], "species": ["Y", "Tm", "Tm", "Pt"], "fractional_positions": [[0.000, 0.000, 0.000], [0.227, 0.227, 0.227], [0.773, 0.773, 0.773], [0.500, 0.500, 0.500]]}

# 2
{"formula": "Y5TmPt6", "functional": "GGA-PBE", "state": "optimized geometry", "e_tot_ev_per_atom": -7.3017, "lattice": [[7.843, -3.460, 0.000], [7.843, 3.460, 0.000], [-1.566, 0.000, 4.712]], "species": ["Y", "Y", "Y", "Y", "Y", "Tm", "Pt", "Pt", "Pt", "Pt", "Pt", "Pt"], "fractional_positions": [[0.000, 0.000, 0.000], [0.166, 0.166, 0.667], [0.333, 0.333, 0.333], [0.667, 0.667, 0.667], [0.834, 0.834, 0.333], [0.500, 0.500, 0.000], [0.089, 0.583, 0.836], [0.255, 0.745, 0.500], [0.417, 0.911, 0.164], [0.583, 0.089, 0.836], [0.745, 0.255, 0.500], [0.911, 0.417, 0.164]]}

# 3
{"formula": "YTm3Pt2", "functional": "GGA-PBE", "state": "optimized geometry", "e_tot_ev_per_atom": -6.3205, "lattice": [[4.730, 0.000, 0.000], [0.000, 8.693, 0.000], [0.000, 0.000, 7.098]], "species": ["Y", "Y", "Tm", "Tm", "Tm", "Tm", "Tm", "Tm", "Pt", "Pt", "Pt", "Pt"], "fractional_positions": [[0.000, 0.081, 0.000], [0.000, 0.919, 0.500], [0.000, 0.330, 0.633], [0.000, 0.670, 0.133], [0.500, 0.173, 0.345], [0.500, 0.418, 0.978], [0.500, 0.582, 0.478], [0.500, 0.827, 0.845], [0.000, 0.347, 0.233], [0.000, 0.653, 0.733], [0.500, 0.157, 0.745], [0.500, 0.843, 0.245]]}

# 4
{"formula": "YTm4Pt4", "functional": "GGA-PBE", "state": "optimized geometry", "e_tot_ev_per_atom": -6.4733, "lattice": [[8.981, 0.000, 0.000], [0.000, 8.981, 0.000], [0.000, 0.000, 5.643]], "species": ["Y", "Y", "Tm", "Tm", "Tm", "Tm", "Tm", "Tm", "Tm", "Tm", "Pt", "Pt", "Pt", "Pt", "Pt", "Pt", "Pt", "Pt"], "fractional_positions": [[0.250, 0.250, 0.250], [0.750, 0.750, 0.750], [0.081, 0.652, 0.164], [0.152, 0.919, 0.664], [0.348, 0.581, 0.664], [0.419, 0.848, 0.164], [0.581, 0.152, 0.836], [0.652, 0.419, 0.336], [0.848, 0.081, 0.336], [0.919, 0.348, 0.836], [0.037, 0.624, 0.665], [0.124, 0.963, 0.165], [0.376, 0.537, 0.165], [0.463, 0.876, 0.665], [0.537, 0.124, 0.335], [0.624, 0.463, 0.835], [0.876, 0.037, 0.835], [0.963, 0.376, 0.335]]}

Number 1: total magnetization 0.002 μB/cell. Number 2: total magnetization 0.000 μB/cell. Number 3: total magnetization 0.000 μB/cell. Number 4: total magnetization 0.000 μB/cell.